Model one:
{"formula": "SrP2Rh", "functional": "PBE-GGA", "state": "relaxed", "space_group": "P4mm, No. 99", "crystal_system": "tetragonal", "cell": [[-0.204, 3.045, -1.434], [-3.358, -0.298, -0.154], [-0.525, 2.801, 6.021]], "species": ["P", "P", "Rh", "Sr"], "fractional_positions": [[0.500, 0.500, 0.281], [0.000, 0.000, 0.050], [0.000, 0.000, 0.400], [0.500, 0.500, 0.770]]}

Model two:
{"formula": "SrP2Rh", "functional": "PBE-GGA", "state": "relaxed", "space_group": "P4/mmm, No. 123", "crystal_system": "tetragonal", "cell": [[4.339, 0.000, 0.000], [0.000, 4.339, 0.000], [0.000, 0.000, 3.951]], "species": ["Rh", "Sr", "P", "P"], "fractional_positions": [[0.500, 0.000, 0.500], [0.000, 0.500, 0.500], [0.000, 0.000, 0.000], [0.500, 0.500, 0.000]]}

Energy ordering: model one at the bottom, the next structure 0.219 eV/atom above.